Crystalline CsLaPdF6 at its relaxed geometry. Source: Alexandria via LeMat-Bulk, functional PBE.

For the formation energy without anion corrections, the calculation gives -273 kJ/mol of atoms.

The structure belongs to space group Imma (No. 74); the cell edges are 7.8495, 8.4630 and 10.8269 Å and the angles 90.00°, 90.00° and 90.00°. Symmetry generates all atoms from Cs at (0.0000, 0.2500, 0.1621), La at (0.2500, 0.2500, 0.7500), Pd at (0.0000, 0.0000, 0.5000), F at (0.0000, 0.2500, 0.6379), F at (0.0000, 0.2500, 0.8815) and F at (0.1869, 0.0037, 0.3685).

***

Crystalline CrHSe2 at its relaxed geometry. Source: Alexandria via LeMat-Bulk, functional PBE.

The value obtained for the density of states at the Fermi level is 0.00 states/eV per atom. Its distance to the lowest polymorph of the same formula is 0.134 eV/atom.

The structure belongs to space group P1 (No. 1); the cell edges are 3.3967, 5.8947 and 7.6286 Å and the angles 112.13°, 95.03° and 93.15°. Symmetry generates all atoms from Cr at (0.0000, 0.0000, 0.0000), Cr at (0.4491, 0.6359, 0.9584), H at (0.4484, 0.0327, 0.6231), H at (0.5206, 0.5016, 0.3227), Se at (0.1424, 0.4808, 0.1949), Se at (0.4679, 0.1721, 0.8356), Se at (0.5471, 0.0028, 0.2260) and Se at (0.9063, 0.6207, 0.7336).

***

Which formula does entry 2 have?
CrHSe2